(1)
A plane-wave DFT calculation with GGA-PBE was carried out for Pm4Ir2Pt after structural relaxation.

The structure belongs to space group I-42d (No. 122); the cell edges are 8.879, 8.879 and 8.836 Å and the angles 90.00°, 90.00° and 90.00°. The asymmetric unit holds Pm at (0.063, 0.186, 0.317), Ir at (0.128, 0.250, 0.625) and Pt at (0.000, 0.000, 0.000).

Its final energy is -6.89 eV/atom. As for the volume: 24.9 A^3/atom. The value obtained for the formation energy is -5.5 eV/f.u.

---

(2)
A plane-wave DFT calculation with GGA-PBE was carried out for Y4ZnFeN2 after structural relaxation.

The structure belongs to space group P-6m2 (No. 187); the cell edges are 3.4774, 3.4774 and 14.6411 Å and the angles 90.00°, 90.00° and 120.00°. The asymmetric unit holds Y at (0.0000, 0.0000, 0.1448), Y at (0.3333, 0.6667, 0.3333), Zn at (0.0000, 0.0000, 0.5000), Fe at (0.3333, 0.6667, 0.0000) and N at (0.6667, 0.3333, 0.2448).

Its final energy is -7.19 eV/atom. As for the volume: 19.2 A^3/atom.

---

(3)
A plane-wave DFT calculation with GGA-PBE was carried out for Zr3ZnS after structural relaxation.

The structure belongs to space group Cmcm (No. 63); the cell edges are 3.583, 11.722 and 9.444 Å and the angles 90.00°, 90.00° and 90.00°. The asymmetric unit holds Zr at (0.000, 0.062, 0.250), Zr at (0.000, 0.355, 0.060), Zn at (0.000, 0.256, 0.750) and S at (0.000, 0.000, 0.000).

Its final energy is -6.97 eV/atom. As for the volume: 19.8 A^3/atom.